The following is a PBE calculation of a relaxed Al2InTe crystal, from Alexandria.

Values from the calculation:
ΔE_f (raw) in eV/f.u.: 0.67
Energy above the most stable polymorph in this dataset in meV per atom: 134
V in Å³/atom: 24.14
Total energy in eV per atom: -3.17

Cell and atoms, written as POSCAR:
```
Al2InTe
1.0
-4.9446 -3.0648 -1.9652
-2.8220 -4.1412 3.5483
2.1084 5.7585 0.3126
Te Al In
1 2 1
Cartesian
-3.3597 -0.4546 -0.4305
0.0000 0.0000 0.0000
-2.2984 -0.9929 2.3262
-3.8833 -3.6030 0.7915
```